Compound: Na2NdTlO4
Source: Alexandria via LeMat-Bulk
Functional: PBE-GGA
Structure: relaxed

Cell lengths 3.516, 5.970, 6.050 Å; angles 109.79, 90.00, 90.00 degrees
Sites, in units of the cell vectors:
1 Na 0.500 0.000 0.500
2 Na 0.000 0.500 0.500
3 Nd 0.500 0.500 0.000
4 Tl 0.000 0.000 0.000
5 O 0.500 0.232 0.225
6 O 0.500 0.768 0.775
7 O 0.000 0.264 0.773
8 O 0.000 0.736 0.227

Output
Formation energy from raw total energies ... -1811 meV/atom
Space-group type ... No. 10